#one
DFT (PBE-GGA) results for a relaxed structure of La2Te2S.

```
data_La2Te2S
_chemical_formula_sum 'La8 Te8 S4'
_cell_length_a 8.1471
_cell_length_b 12.4699
_cell_length_c 6.6393
_cell_angle_alpha 90.00
_cell_angle_beta 90.00
_cell_angle_gamma 90.00
_space_group_name_H-M_alt 'I b a m'
_space_group_IT_number 72
_space_group_name_Hall '-I 2 2c'
loop_
_atom_site_label
_atom_site_type_symbol
_atom_site_fract_x
_atom_site_fract_y
_atom_site_fract_z
_atom_site_occupancy
La1 La 0.2320 0.1056 0.0000 1
Te1 Te 0.1368 0.3567 0.0000 1
S1 S 0.0000 0.0000 0.2500 1
```

Calculated values
The value obtained for the total moment is 0.00 μB per cell.



#two
DFT (PBE-GGA) results for a relaxed structure of La2Te2S.

```
data_La2Te2S
_chemical_formula_sum 'La4 Te4 S2'
_cell_length_a 8.7813
_cell_length_b 8.7813
_cell_length_c 4.0264
_cell_angle_alpha 90.00
_cell_angle_beta 90.00
_cell_angle_gamma 90.00
_space_group_name_H-M_alt 'P 4/m b m'
_space_group_IT_number 127
_space_group_name_Hall '-P 4 2ab'
loop_
_atom_site_label
_atom_site_type_symbol
_atom_site_fract_x
_atom_site_fract_y
_atom_site_fract_z
_atom_site_occupancy
La1 La 0.1697 0.3303 0.0000 1
Te1 Te 0.1324 0.6324 0.5000 1
S1 S 0.0000 0.0000 0.5000 1
```

Calculated values
The value obtained for the total moment is 0.00 μB per cell.



Of them, #two has the lowest stability.